VASP calculation (PBE) on an optimized crystal structure of TlP2Ru.

Summary:
E_form (eV per atom): 0.61
Crystal system: cubic
Calculated density (g/cm3): 9.12
SG: Fm-3m, No. 225
Relative energy among the computed polymorphs (meV/atom): 653.0

CIF file:
```
data_TlP2Ru
_chemical_formula_sum 'Tl1 P2 Ru1'
_symmetry_space_group_name_H-M 'P 1'
_symmetry_Int_Tables_number 1
_symmetry_space_group_name_Hall 'P 1'
_cell_length_a 4.557
_cell_length_b 4.557
_cell_length_c 4.557
_cell_angle_alpha 60.00
_cell_angle_beta 60.00
_cell_angle_gamma 60.00
loop_
_atom_site_label
_atom_site_type_symbol
_atom_site_fract_x
_atom_site_fract_y
_atom_site_fract_z
_atom_site_occupancy
Ru1 Ru 0.000 0.000 0.000 1
Tl1 Tl 0.500 0.500 0.500 1
P1 P 0.250 0.250 0.250 1
P2 P 0.750 0.750 0.750 1
```